The following is a DFT calculation (PBE) of a relaxed structure of RbAg2MoI8.

The structure in extended XYZ format:
```
12
Lattice="7.2440 -0.3900 0.2701 -0.3265 7.1962 1.7562 0.5310 2.4302 10.2012" Properties=species:S:1:pos:R:3 pbc="T T T"
Rb 0.2655 1.2151 5.1006
Ag 4.2598 3.9244 7.9178
Ag 3.1887 5.3121 4.3097
Mo 0.0000 0.0000 0.0000
I 0.3375 5.7149 4.0584
I 4.5043 5.4437 1.8465
I 6.1104 1.5463 1.8122
I 7.1109 3.5215 8.1690
I 2.9441 3.7928 10.3809
I 1.3380 7.6902 10.4153
I 3.6611 6.4994 6.8151
I 3.7873 2.7370 5.4123
```

Calculated values
Fermi-level density of states   0.687 states/eV/atom
E_form (uncorrected)   -0.36 eV/atom
E   -2.852 eV/atom
Total moment   1.6 Bohr magnetons per cell

The following is a DFT calculation (PBE) of a relaxed structure of AgMoS2I.

The structure in extended XYZ format:
```
5
Lattice="-3.0441 -2.2273 3.5413 4.2323 -1.9386 2.4188 0.2817 4.2605 2.9218" Properties=species:S:1:pos:R:3 pbc="T T T"
I 0.0000 0.0000 0.0000
Mo 0.7349 0.0473 4.4409
S 0.1408 2.1303 1.4609
S -1.5220 -1.1137 1.7707
Ag 2.1161 -0.9693 1.2094
```

Calculated values
Fermi-level density of states   0.537 states/eV/atom
E_form (uncorrected)   1.49 eV/atom
E   -3.204 eV/atom
Total moment   4.6 Bohr magnetons per cell

The following is a DFT calculation (PBE) of a relaxed structure of AgSb2MoI.

The structure in extended XYZ format:
```
5
Lattice="-0.6899 -4.9128 -1.9244 5.2726 -0.5691 -0.4372 0.2103 -2.0874 5.2536" Properties=species:S:1:pos:R:3 pbc="T T T"
I 0.1052 -1.0437 2.6268
Sb 2.6363 -0.2846 -0.2186
Sb -0.3449 -2.4564 -0.9622
Mo 2.3965 -3.7847 1.4460
Ag 0.0000 0.0000 0.0000
```

Calculated values
Fermi-level density of states   0.712 states/eV/atom
E_form (uncorrected)   1.27 eV/atom
E   -3.429 eV/atom
Total moment   3.5 Bohr magnetons per cell

What did the second record say?
The following is a DFT calculation (PBE) of a relaxed structure of AgMoS2I.

The structure in extended XYZ format:
```
5
Lattice="-3.0441 -2.2273 3.5413 4.2323 -1.9386 2.4188 0.2817 4.2605 2.9218" Properties=species:S:1:pos:R:3 pbc="T T T"
I 0.0000 0.0000 0.0000
Mo 0.7349 0.0473 4.4409
S 0.1408 2.1303 1.4609
S -1.5220 -1.1137 1.7707
Ag 2.1161 -0.9693 1.2094
```

Calculated values
Fermi-level density of states   0.537 states/eV/atom
E_form (uncorrected)   1.49 eV/atom
E   -3.204 eV/atom
Total moment   4.6 Bohr magnetons per cell

Q: Which value of total moment does entry 1 give?
A: 1.6 Bohr magnetons per cell

Q: Which formula does entry 1 have?
A: RbAg2MoI8